1.
# Cs4TlIn3Br12 GGA-PBE relaxed
data_Cs4TlIn3Br12
_symmetry_space_group_name_H-M 'P 1'
_symmetry_Int_Tables_number 1
_symmetry_space_group_name_Hall 'P 1'
_cell_length_a 10.064
_cell_length_b 10.064
_cell_length_c 10.064
_cell_angle_alpha 109.47
_cell_angle_beta 109.47
_cell_angle_gamma 109.47
loop_
_atom_site_label
_atom_site_type_symbol
_atom_site_fract_x
_atom_site_fract_y
_atom_site_fract_z
Cs1 Cs 0.000 0.000 0.500
Cs2 Cs 0.000 0.500 0.000
Cs3 Cs 0.500 0.000 0.000
Cs4 Cs 0.500 0.500 0.500
Tl1 Tl 0.000 0.000 0.000
In1 In 0.000 0.500 0.500
In2 In 0.500 0.000 0.500
In3 In 0.500 0.500 0.000
Br1 Br 0.000 0.265 0.265
Br2 Br 0.000 0.735 0.735
Br3 Br 0.250 0.500 0.750
Br4 Br 0.250 0.750 0.500
Br5 Br 0.265 0.000 0.265
Br6 Br 0.265 0.265 0.000
Br7 Br 0.500 0.250 0.750
Br8 Br 0.500 0.750 0.250
Br9 Br 0.735 0.000 0.735
Br10 Br 0.735 0.735 0.000
Br11 Br 0.750 0.250 0.500
Br12 Br 0.750 0.500 0.250
# Total magnetization in μB per formula unit: 0.0
# Formation energy without anion corrections in eV per formula unit: -24.0
# DOS(E_F) in states/eV per atom: 0.19

=====

2.
# ScBeSe2Br GGA-PBE relaxed
data_ScBeSe2Br
_symmetry_space_group_name_H-M 'P 1'
_symmetry_Int_Tables_number 1
_symmetry_space_group_name_Hall 'P 1'
_cell_length_a 4.977
_cell_length_b 4.977
_cell_length_c 6.098
_cell_angle_alpha 90.00
_cell_angle_beta 90.00
_cell_angle_gamma 90.00
loop_
_atom_site_label
_atom_site_type_symbol
_atom_site_fract_x
_atom_site_fract_y
_atom_site_fract_z
Sc1 Sc 0.000 0.000 0.000
Be1 Be 0.000 0.000 0.500
Se1 Se 0.000 0.500 0.000
Se2 Se 0.500 0.000 0.000
Br1 Br 0.500 0.500 0.500
# Total magnetization in μB per formula unit: 0.0
# Formation energy without anion corrections in eV per formula unit: 1.2
# DOS(E_F) in states/eV per atom: 1.23

=====

3.
# V7Ir GGA-PBE relaxed
data_V7Ir
_symmetry_space_group_name_H-M 'P 1'
_symmetry_Int_Tables_number 1
_symmetry_space_group_name_Hall 'P 1'
_cell_length_a 6.696
_cell_length_b 6.696
_cell_length_c 6.696
_cell_angle_alpha 143.11
_cell_angle_beta 143.11
_cell_angle_gamma 53.17
loop_
_atom_site_label
_atom_site_type_symbol
_atom_site_fract_x
_atom_site_fract_y
_atom_site_fract_z
V1 V 0.000 0.000 0.000
V2 V 0.127 0.627 0.500
V3 V 0.246 0.246 0.000
V4 V 0.373 0.873 0.500
V5 V 0.627 0.127 0.500
V6 V 0.754 0.754 0.000
V7 V 0.873 0.373 0.500
Ir1 Ir 0.500 0.500 0.000
# Total magnetization in μB per formula unit: 0.0
# ΔE_f in eV/f.u.: -2.2
# DOS(E_F) in states/eV per atom: 0.90

=====

4.
# Al2ZnSe GGA-PBE relaxed
data_Al2ZnSe
_symmetry_space_group_name_H-M 'P 1'
_symmetry_Int_Tables_number 1
_symmetry_space_group_name_Hall 'P 1'
_cell_length_a 7.393
_cell_length_b 7.393
_cell_length_c 7.393
_cell_angle_alpha 27.47
_cell_angle_beta 27.47
_cell_angle_gamma 27.47
loop_
_atom_site_label
_atom_site_type_symbol
_atom_site_fract_x
_atom_site_fract_y
_atom_site_fract_z
Al1 Al 0.249 0.249 0.249
Al2 Al 0.751 0.751 0.751
Zn1 Zn 0.000 0.000 0.000
Se1 Se 0.500 0.500 0.500
# Total magnetization in μB per formula unit: 0.0
# Formation energy without anion corrections in eV per formula unit: -0.5
# DOS(E_F) in states/eV per atom: 0.22

=====

5.
# RbNdCd2Br8 GGA-PBE relaxed
data_RbNdCd2Br8
_symmetry_space_group_name_H-M 'P 1'
_symmetry_Int_Tables_number 1
_symmetry_space_group_name_Hall 'P 1'
_cell_length_a 7.039
_cell_length_b 7.045
_cell_length_c 9.792
_cell_angle_alpha 77.75
_cell_angle_beta 79.61
_cell_angle_gamma 79.23
loop_
_atom_site_label
_atom_site_type_symbol
_atom_site_fract_x
_atom_site_fract_y
_atom_site_fract_z
Rb1 Rb 0.000 0.000 0.000
Nd1 Nd 0.000 0.000 0.500
Cd1 Cd 0.459 0.442 0.214
Cd2 Cd 0.541 0.558 0.786
Br1 Br 0.166 0.722 0.732
Br2 Br 0.228 0.784 0.287
Br3 Br 0.302 0.242 0.467
Br4 Br 0.365 0.293 0.011
Br5 Br 0.635 0.707 0.989
Br6 Br 0.698 0.758 0.533
Br7 Br 0.772 0.216 0.713
Br8 Br 0.834 0.278 0.268
# Total magnetization in μB per formula unit: 0.0
# Formation energy without anion corrections in eV per formula unit: -15.6
# DOS(E_F) in states/eV per atom: 0.00

=====

6.
# Zr2Br GGA-PBE relaxed
data_Zr2Br
_symmetry_space_group_name_H-M 'P 1'
_symmetry_Int_Tables_number 1
_symmetry_space_group_name_Hall 'P 1'
_cell_length_a 7.149
_cell_length_b 7.149
_cell_length_c 6.335
_cell_angle_alpha 108.49
_cell_angle_beta 108.49
_cell_angle_gamma 26.29
loop_
_atom_site_label
_atom_site_type_symbol
_atom_site_fract_x
_atom_site_fract_y
_atom_site_fract_z
Zr1 Zr 0.000 0.000 0.000
Zr2 Zr 0.236 0.236 0.934
Zr3 Zr 0.572 0.572 0.567
Zr4 Zr 0.886 0.886 0.333
Br1 Br 0.360 0.360 0.675
Br2 Br 0.665 0.665 0.245
# Total magnetization in μB per formula unit: 0.0
# Formation energy without anion corrections in eV per formula unit: -0.7
# DOS(E_F) in states/eV per atom: 0.82